Entry 1:
Material: CsCuSiTeS2
Method: DFT, GGA-PBE
State: relaxed

Unit cell a=8.5674 b=8.5674 c=10.5462 alpha=90.00 beta=90.00 gamma=156.15
With the nearest neighbours (Å) after each atom.
Sites, in units of the cell vectors:
Cs (0.2388, 0.7612, 0.7500)  2 Cu 3.53, 2 Cs 3.54, 4 S 3.68, 2 Te 3.80
Cs (0.7612, 0.2388, 0.2500)  2 Cu 3.53, 2 Cs 3.54, 4 S 3.68, 2 Te 3.80
Cu (0.4432, 0.5568, 0.2500)  2 S 2.23
Cu (0.5568, 0.4432, 0.7500)  2 S 2.23
Si (0.0000, 0.0000, 0.0000)  4 S 2.43
Si (0.0000, 0.0000, 0.5000)  4 S 2.43
Te (0.0609, 0.9391, 0.2500)  2 Cu 2.65, 2 Si 2.83
Te (0.9391, 0.0609, 0.7500)  2 Cu 2.65, 2 Si 2.83
S (0.4051, 0.5949, 0.0474)  1 Cu 2.23, 2 Si 2.43
S (0.4051, 0.5949, 0.4526)  1 Cu 2.23, 2 Si 2.43
S (0.5949, 0.4051, 0.5474)  1 Cu 2.23, 2 Si 2.43
S (0.5949, 0.4051, 0.9526)  1 Cu 2.23, 2 Si 2.43

Entry 2:
Material: CsSm2Cu3S5
Method: DFT, GGA-PBE
State: relaxed

Unit cell a=7.3630 b=7.3630 c=17.1372 alpha=90.00 beta=90.00 gamma=148.39
With the nearest neighbours (Å) after each atom.
Sites, in units of the cell vectors:
Cs (0.0633, 0.9367, 0.7500)  8 S 3.42-3.61, 2 Cu 3.75
Cs (0.9367, 0.0633, 0.2500)  8 S 3.42-3.61, 2 Cu 3.75
Sm (0.1919, 0.8081, 0.0908)  6 S 2.76-2.87
Sm (0.1919, 0.8081, 0.4092)  6 S 2.76-2.87
Sm (0.8081, 0.1919, 0.5908)  6 S 2.76-2.87
Sm (0.8081, 0.1919, 0.9092)  6 S 2.76-2.87
Cu (0.3396, 0.6604, 0.7500)  2 S 2.23
Cu (0.4157, 0.5843, 0.0350)  4 S 2.38-2.45
Cu (0.4157, 0.5843, 0.4650)  4 S 2.38-2.45
Cu (0.5843, 0.4157, 0.5350)  4 S 2.38-2.45
Cu (0.5843, 0.4157, 0.9650)  4 S 2.38-2.45
Cu (0.6604, 0.3396, 0.2500)  2 S 2.23
S (0.1657, 0.8343, 0.5690)  2 Cu 2.39
S (0.1657, 0.8343, 0.9310)  2 Cu 2.39
S (0.2292, 0.7708, 0.2500)  2 Cu 2.23
S (0.4407, 0.5593, 0.6068)  2 Cu 2.38-2.45
S (0.4407, 0.5593, 0.8932)  2 Cu 2.38-2.45
S (0.5593, 0.4407, 0.1068)  2 Cu 2.38-2.45
S (0.5593, 0.4407, 0.3932)  2 Cu 2.38-2.45
S (0.7708, 0.2292, 0.7500)  2 Cu 2.23
S (0.8343, 0.1657, 0.0690)  2 Cu 2.39
S (0.8343, 0.1657, 0.4310)  2 Cu 2.39

Entry 3:
Material: CsSmCuS3
Method: DFT, GGA-PBE
State: relaxed

Unit cell a=9.3999 b=4.0493 c=9.7415 alpha=90.00 beta=110.20 gamma=90.00
With the nearest neighbours (Å) after each atom.
Sites, in units of the cell vectors:
Cs (0.2089, 0.2500, 0.2443)  7 S 3.52-3.70
Cs (0.7911, 0.7500, 0.7557)  7 S 3.52-3.70
Sm (0.3291, 0.7500, 0.8579)  6 S 2.76-2.89
Sm (0.6709, 0.2500, 0.1421)  6 S 2.76-2.89
Cu (0.0822, 0.2500, 0.6101)  4 S 2.29-2.34
Cu (0.9178, 0.7500, 0.3899)  4 S 2.29-2.34
S (0.1237, 0.2500, 0.8557)  1 Cu 2.29
S (0.1667, 0.7500, 0.5458)  3 Cu 2.31-2.34
S (0.4725, 0.7500, 0.1579)  3 Sm 2.76-2.79
S (0.5275, 0.2500, 0.8421)  3 Sm 2.76-2.79
S (0.8333, 0.2500, 0.4542)  3 Cu 2.31-2.34
S (0.8763, 0.7500, 0.1443)  1 Cu 2.29

Entry 4:
Material: CsCu3SnS4
Method: DFT, GGA-PBE
State: relaxed

Unit cell a=5.8160 b=7.7081 c=10.1118 alpha=90.00 beta=104.11 gamma=90.00
With the nearest neighbours (Å) after each atom.
Sites, in units of the cell vectors:
Cs (0.2034, 0.2500, 0.3740)  9 S 3.52-3.90, 1 Cu 3.90
Cs (0.7966, 0.7500, 0.6260)  9 S 3.52-3.90, 1 Cu 3.90
Cu (0.3124, 0.5766, 0.0211)  3 S 2.27-2.44
Cu (0.3124, 0.9234, 0.0211)  3 S 2.27-2.44
Cu (0.4205, 0.7500, 0.2500)  3 S 2.25-2.40
Cu (0.5795, 0.2500, 0.7500)  3 S 2.25-2.40
Cu (0.6876, 0.0766, 0.9789)  3 S 2.27-2.44
Cu (0.6876, 0.4234, 0.9789)  3 S 2.27-2.44
Sn (0.1188, 0.2500, 0.7950)  4 S 2.38-2.48
Sn (0.8812, 0.7500, 0.2050)  4 S 2.38-2.48
S (0.0125, 0.2500, 0.0156)  2 Cu 2.27, 1 Sn 2.46
S (0.2000, 0.7500, 0.4043)  1 Cu 2.25, 1 Sn 2.38
S (0.3789, 0.5052, 0.7988)  3 Cu 2.31-2.44, 1 Sn 2.48
S (0.3789, 0.9948, 0.7988)  3 Cu 2.31-2.44, 1 Sn 2.48
S (0.6211, 0.0052, 0.2012)  3 Cu 2.31-2.44, 1 Sn 2.48
S (0.6211, 0.4948, 0.2012)  3 Cu 2.31-2.44, 1 Sn 2.48
S (0.8000, 0.2500, 0.5957)  1 Cu 2.25, 1 Sn 2.38
S (0.9875, 0.7500, 0.9844)  2 Cu 2.27, 1 Sn 2.46

Computed electronic total energy (eV per atom) in order:
-3.96 -5.05 -4.86 -4.07